A relaxed TaPO6 crystal. Source: the Alexandria database, functional PBE.

Geometry as extended XYZ:
```
8
Lattice="-2.262 -4.838 0.239 2.332 2.788 3.920 -3.973 2.363 0.062" Properties=species:S:1:pos:R:3 pbc="T T T"
Ta 0.000 0.000 0.000
P -1.951 0.156 2.111
O -2.873 1.169 1.162
O -1.665 -0.851 0.763
O -1.029 -0.857 3.059
O -3.359 -0.699 2.559
O -2.237 1.164 3.459
O -0.543 1.011 1.662
```

Results
Formation energy without anion corrections: -1.628 eV/atom


A relaxed K2In2Au crystal. Source: the Alexandria database, functional PBE.

Geometry as extended XYZ:
```
10
Lattice="-7.063 -0.245 2.060 1.613 -5.246 4.906 1.069 4.226 4.168" Properties=species:S:1:pos:R:3 pbc="T T T"
K 0.346 -1.513 5.809
K -2.969 -2.342 7.500
K -4.727 0.248 5.325
K -1.413 1.077 3.634
Au 0.000 0.000 0.000
Au -2.725 -2.746 3.483
In -1.157 -4.601 4.962
In -5.044 -3.567 4.911
In -4.293 -0.890 2.004
In -0.406 -1.924 2.055
```

Results
Energy above the most stable polymorph in this dataset: 0.000 eV per atom
Formation enthalpy at 0 K: -0.139 eV/atom


A relaxed CsGe3Ru crystal. Source: the Alexandria database, functional PBE.

Geometry as extended XYZ:
```
5
Lattice="4.986 0.000 0.000 0.000 4.986 0.000 0.000 0.000 4.986" Properties=species:S:1:pos:R:3 pbc="T T T"
Cs 2.493 2.493 2.493
Ru 0.000 0.000 0.000
Ge 0.000 2.493 0.000
Ge 0.000 0.000 2.493
Ge 2.493 0.000 0.000
```

Results
Energy above the most stable polymorph in this dataset: 0.000 eV per atom
Formation enthalpy at 0 K: 0.315 eV/atom


A relaxed HoThTlOs crystal. Source: the Alexandria database, functional PBE.

Geometry as extended XYZ:
```
4
Lattice="3.414 0.000 0.000 0.000 3.414 0.000 0.000 0.000 8.545" Properties=species:S:1:pos:R:3 pbc="T T T"
Ho 1.707 1.707 3.112
Th 1.707 1.707 6.616
Tl 0.000 0.000 0.700
Os 0.000 0.000 4.822
```

Results
Formation enthalpy at 0 K: -0.307 eV/atom


A relaxed CaTm3Ag4 crystal. Source: the Alexandria database, functional PBE.

Geometry as extended XYZ:
```
16
Lattice="-0.076 2.309 4.555 5.743 -3.838 2.042 6.162 7.304 -3.599" Properties=species:S:1:pos:R:3 pbc="T T T"
Ca 2.871 -1.919 1.021
Ca 5.952 1.733 -0.779
Tm 0.000 0.000 0.000
Tm 3.081 3.652 -1.800
Tm 4.583 6.632 -0.424
Tm 1.502 2.981 1.379
Tm 7.455 4.712 0.596
Tm 4.374 1.063 2.401
Ag 4.324 -1.761 3.828
Ag 7.405 1.891 2.029
Ag 1.343 0.231 2.768
Ag 4.424 3.884 0.969
Ag 8.908 4.869 3.403
Ag 5.903 -1.088 0.655
Ag 2.921 0.905 -0.406
Ag 5.926 6.863 2.343
```

Results
Formation enthalpy at 0 K: -0.324 eV/atom


A relaxed Ce6Hg2Pt crystal. Source: the Alexandria database, functional PBE.

Geometry as extended XYZ:
```
18
Lattice="6.149 0.000 0.454 0.000 8.396 0.000 -0.089 0.000 9.206" Properties=species:S:1:pos:R:3 pbc="T T T"
Ce 5.256 8.015 2.187
Ce 4.937 5.675 4.892
Ce 5.383 5.949 9.502
Ce 3.709 1.751 4.989
Ce 4.243 1.476 0.393
Ce 3.924 3.817 3.098
Ce 0.805 0.381 7.474
Ce 1.124 2.722 4.769
Ce 0.678 2.447 0.159
Ce 2.352 6.645 4.671
Ce 1.818 6.920 9.268
Ce 2.137 4.580 6.563
Hg 5.107 3.553 7.316
Hg 3.985 7.751 7.175
Hg 2.076 0.645 2.486
Hg 0.954 4.843 2.345
Pt 3.075 4.198 0.227
Pt -0.044 0.000 4.603
```

Results
Energy above the most stable polymorph in this dataset: 0.087 eV per atom
Formation enthalpy at 0 K: -0.270 eV/atom